Below is a relaxed structure of LiTe2Pt, with properties calculated at the PBE level.

Properties
Total magnetization = 0.0 μB/cell
Raw formation energy = -0.90 eV per formula unit
Symmetry = Cmmm (65)

```
4
Lattice="-2.8869 2.5236 0.9261 0.6456 -1.0064 -3.7591 -4.9581 -5.9433 0.7398" Properties=species:S:1:pos:R:3 pbc="T T T"
Li -2.3602 -0.7273 -1.2315
Pt -4.8392 -3.6989 -0.8616
Te -2.5997 -3.1163 0.3879
Te -4.8374 -5.7987 0.7218
```